First-principles (PBE-GGA) data for a geometry-optimized Th2PbSe structure, as listed in Alexandria.

The space group is P4/mmm (No. 123) and the conventional cell measures 3.642, 3.642 and 8.219 Å, with angles of 90.00, 90.00 and 90.00 degrees. The distinct sites, in fractional coordinates, are Th at (0.000, 0.000, 0.228), Pb at (0.500, 0.500, 0.500) and Se at (0.500, 0.500, 0.000).

Its final energy is -6.304 eV per atom. The energy relative to the lowest polymorph listed for this composition comes out at 93 meV per atom. For the uncorrected formation energy, the calculation gives -76.8 kJ per mole of atoms.